No. 1
A plane-wave DFT calculation with GGA-PBE was carried out for a relaxed Mg4Ag3Hg2 crystal.

Unit cell a=4.725 b=4.725 c=8.921 alpha=85.82 beta=85.83 gamma=62.71
Fractional coordinates of all 9 atoms:
Mg: 0.010 0.009 0.169
Mg: 0.328 0.330 0.614
Mg: 0.672 0.670 0.386
Mg: 0.990 0.991 0.831
Ag: 0.000 0.000 0.500
Ag: 0.328 0.328 0.949
Ag: 0.672 0.672 0.051
Hg: 0.343 0.341 0.284
Hg: 0.657 0.659 0.716

Calculated values
- space group = P-1
- magnetic moment (μB/f.u.) = 0.0
- mass density (g/cm3) = 7.74


No. 2
A plane-wave DFT calculation with GGA-PBE was carried out for a relaxed Na7Tl12In crystal.

Unit cell a=8.901 b=8.901 c=8.901 alpha=107.27 beta=107.27 gamma=107.27
Fractional coordinates of all 20 atoms:
Na: 0.000 0.000 0.000
Na: 0.175 0.500 0.626
Na: 0.374 0.825 0.500
Na: 0.500 0.374 0.825
Na: 0.500 0.626 0.175
Na: 0.626 0.175 0.500
Na: 0.825 0.500 0.374
Tl: 0.101 0.269 0.817
Tl: 0.123 0.433 0.212
Tl: 0.183 0.899 0.731
Tl: 0.212 0.123 0.433
Tl: 0.269 0.817 0.101
Tl: 0.433 0.212 0.123
Tl: 0.567 0.788 0.877
Tl: 0.731 0.183 0.899
Tl: 0.788 0.877 0.567
Tl: 0.817 0.101 0.269
Tl: 0.877 0.567 0.788
Tl: 0.899 0.731 0.183
In: 0.500 0.500 0.500

Calculated values
- relative energy among the computed polymorphs (meV/atom) = 0
- space group = R-3
- magnetic moment (μB/f.u.) = 0.0
- mass density (g/cm3) = 7.77


No. 3
A plane-wave DFT calculation with GGA-PBE was carried out for a relaxed B3PC crystal.

Unit cell a=3.487 b=3.487 c=3.487 alpha=90.00 beta=90.00 gamma=90.00
Fractional coordinates of all 5 atoms:
B: 0.000 0.000 0.500
B: 0.000 0.500 0.000
B: 0.500 0.000 0.000
P: 0.500 0.500 0.500
C: 0.000 0.000 0.000

Calculated values
- relative energy among the computed polymorphs (meV/atom) = 1442
- space group = Pm-3m
- magnetic moment (μB/f.u.) = 0.0
- mass density (g/cm3) = 2.95


No. 4
A plane-wave DFT calculation with GGA-PBE was carried out for a relaxed CdTcAu2 crystal.

Unit cell a=4.228 b=4.228 c=4.009 alpha=90.00 beta=90.00 gamma=90.00
Fractional coordinates of all 4 atoms:
Cd: 0.000 0.000 0.000
Tc: 0.500 0.500 0.000
Au: 0.000 0.500 0.500
Au: 0.500 0.000 0.500

Calculated values
- space group = P4/mmm
- magnetic moment (μB/f.u.) = 1.7
- mass density (g/cm3) = 14.00


no.,energy of formation (eV per atom)
1,-0.187
2,-0.059
3,1.690
4,0.335